i:
Material: Al3ZnF
Method: DFT, GGA-PBE
State: optimized geometry

```
data_Al3ZnF
_chemical_formula_sum 'Al3 Zn1 F1'
_space_group_name_H-M_alt 'P 1'
_space_group_IT_number 1
_cell_length_a 4.445
_cell_length_b 4.445
_cell_length_c 4.445
_cell_angle_alpha 90.00
_cell_angle_beta 90.00
_cell_angle_gamma 90.00
loop_
_space_group_symop_operation_xyz
'x,y,z'
loop_
_atom_site_label
_atom_site_fract_x
_atom_site_fract_y
_atom_site_fract_z
Zn1 0.500 0.500 0.500
Al1 0.000 0.500 0.000
Al2 0.000 0.000 0.500
Al3 0.500 0.000 0.000
F1 0.000 0.000 0.000
```

---

ii:
Material: Al3ZnF
Method: DFT, GGA-PBE
State: optimized geometry

```
data_Al3ZnF
_chemical_formula_sum 'Al3 Zn1 F1'
_space_group_name_H-M_alt 'P 1'
_space_group_IT_number 1
_cell_length_a 4.759
_cell_length_b 4.759
_cell_length_c 4.759
_cell_angle_alpha 90.00
_cell_angle_beta 90.00
_cell_angle_gamma 90.00
loop_
_space_group_symop_operation_xyz
'x,y,z'
loop_
_atom_site_label
_atom_site_fract_x
_atom_site_fract_y
_atom_site_fract_z
Al1 0.000 0.000 0.500
Al2 0.000 0.500 0.000
Al3 0.500 0.000 0.000
F1 0.500 0.500 0.500
Zn1 0.000 0.000 0.000
```

---

Stability order, top to bottom: i, ii

---

i:
Material: AlZnF3
Method: DFT, GGA-PBE
State: optimized geometry

```
data_AlZnF3
_chemical_formula_sum 'Al1 Zn1 F3'
_space_group_name_H-M_alt 'P 1'
_space_group_IT_number 1
_cell_length_a 3.913
_cell_length_b 3.913
_cell_length_c 3.913
_cell_angle_alpha 90.00
_cell_angle_beta 90.00
_cell_angle_gamma 90.00
loop_
_space_group_symop_operation_xyz
'x,y,z'
loop_
_atom_site_label
_atom_site_fract_x
_atom_site_fract_y
_atom_site_fract_z
F1 0.000 0.500 0.000
F2 0.500 0.000 0.000
F3 0.000 0.000 0.500
Zn1 0.500 0.500 0.500
Al1 0.000 0.000 0.000
```

---

ii:
Material: AlZnF3
Method: DFT, GGA-PBE
State: optimized geometry

```
data_AlZnF3
_chemical_formula_sum 'Al1 Zn1 F3'
_space_group_name_H-M_alt 'P 1'
_space_group_IT_number 1
_cell_length_a 4.129
_cell_length_b 4.129
_cell_length_c 4.129
_cell_angle_alpha 90.00
_cell_angle_beta 90.00
_cell_angle_gamma 90.00
loop_
_space_group_symop_operation_xyz
'x,y,z'
loop_
_atom_site_label
_atom_site_fract_x
_atom_site_fract_y
_atom_site_fract_z
F1 0.500 0.000 0.000
F2 0.000 0.000 0.500
F3 0.000 0.500 0.000
Zn1 0.000 0.000 0.000
Al1 0.500 0.500 0.500
```

---

Stability order, top to bottom: i, ii

---

i:
Material: Zr2Al2F
Method: DFT, GGA-PBE
State: optimized geometry

```
data_Zr2Al2F
_chemical_formula_sum 'Zr2 Al2 F1'
_space_group_name_H-M_alt 'P 1'
_space_group_IT_number 1
_cell_length_a 3.537
_cell_length_b 3.537
_cell_length_c 8.092
_cell_angle_alpha 77.37
_cell_angle_beta 77.37
_cell_angle_gamma 90.00
loop_
_space_group_symop_operation_xyz
'x,y,z'
loop_
_atom_site_label
_atom_site_fract_x
_atom_site_fract_y
_atom_site_fract_z
Al1 0.250 0.750 0.500
Al2 0.750 0.250 0.500
F1 0.000 0.000 0.000
Zr1 0.398 0.398 0.204
Zr2 0.602 0.602 0.796
```

---

ii:
Material: Zr2Al2F
Method: DFT, GGA-PBE
State: optimized geometry

```
data_Zr2Al2F
_chemical_formula_sum 'Zr4 Al4 F2'
_space_group_name_H-M_alt 'P 1'
_space_group_IT_number 1
_cell_length_a 6.199
_cell_length_b 6.199
_cell_length_c 4.830
_cell_angle_alpha 90.00
_cell_angle_beta 90.00
_cell_angle_gamma 90.00
loop_
_space_group_symop_operation_xyz
'x,y,z'
loop_
_atom_site_label
_atom_site_fract_x
_atom_site_fract_y
_atom_site_fract_z
Al1 0.152 0.652 0.500
Al2 0.652 0.848 0.500
Al3 0.848 0.348 0.500
Al4 0.348 0.152 0.500
Zr1 0.835 0.665 0.000
Zr2 0.165 0.335 0.000
Zr3 0.665 0.165 0.000
Zr4 0.335 0.835 0.000
F1 0.000 0.000 0.000
F2 0.500 0.500 0.000
```

---

Stability order, top to bottom: ii, i